# PBE CaMgZr2, optimized geometry
data_CaMgZr2
_chemical_formula_sum 'Ca1 Mg1 Zr2'
_cell_length_a 5.9575
_cell_length_b 5.9575
_cell_length_c 5.9575
_cell_angle_alpha 135.88
_cell_angle_beta 135.88
_cell_angle_gamma 64.16
_symmetry_space_group_name_H-M 'P 1'
_symmetry_Int_Tables_number 1
loop_
_symmetry_equiv_pos_as_xyz
'x,y,z'
loop_
_atom_site_label
_atom_site_type_symbol
_atom_site_fract_x
_atom_site_fract_y
_atom_site_fract_z
_atom_site_occupancy
Zr1 Zr 0.0000 0.0000 0.0000 1
Zr2 Zr 0.5000 0.5000 0.0000 1
Ca1 Ca 0.2500 0.7500 0.5000 1
Mg1 Mg 0.7500 0.2500 0.5000 1
# ρ   4.1 g/cm³
# Formation enthalpy at 0 K   315 meV per atom


# PBE GaS2N, optimized geometry
data_GaS2N
_chemical_formula_sum 'Ga2 S4 N2'
_cell_length_a 4.7818
_cell_length_b 4.7818
_cell_length_c 6.8523
_cell_angle_alpha 69.58
_cell_angle_beta 69.58
_cell_angle_gamma 90.00
_symmetry_space_group_name_H-M 'P 1'
_symmetry_Int_Tables_number 1
loop_
_symmetry_equiv_pos_as_xyz
'x,y,z'
loop_
_atom_site_label
_atom_site_type_symbol
_atom_site_fract_x
_atom_site_fract_y
_atom_site_fract_z
_atom_site_occupancy
S1 S 0.3750 0.4503 0.7500 1
S2 S 0.5497 0.1250 0.2500 1
S3 S 0.8750 0.7997 0.7500 1
S4 S 0.2003 0.6250 0.2500 1
Ga1 Ga 0.7500 0.2500 0.5000 1
Ga2 Ga 0.0000 0.0000 0.0000 1
N1 N 0.2500 0.7500 0.5000 1
N2 N 0.5000 0.5000 0.0000 1
# Formation energy from raw total energies   775 meV per atom
# ρ   3.6 g/cm³


# PBE CaNdRe4, optimized geometry
data_CaNdRe4
_chemical_formula_sum 'Ca1 Nd1 Re4'
_cell_length_a 5.4641
_cell_length_b 5.4641
_cell_length_c 5.4641
_cell_angle_alpha 60.00
_cell_angle_beta 60.00
_cell_angle_gamma 60.00
_symmetry_space_group_name_H-M 'P 1'
_symmetry_Int_Tables_number 1
loop_
_symmetry_equiv_pos_as_xyz
'x,y,z'
loop_
_atom_site_label
_atom_site_type_symbol
_atom_site_fract_x
_atom_site_fract_y
_atom_site_fract_z
_atom_site_occupancy
Re1 Re 0.6249 0.6249 0.6249 1
Re2 Re 0.1252 0.6249 0.6249 1
Re3 Re 0.6249 0.1252 0.6249 1
Re4 Re 0.6249 0.6249 0.1252 1
Ca1 Ca 0.2500 0.2500 0.2500 1
Nd1 Nd 0.0000 0.0000 0.0000 1
# ρ   13.4 g/cm³
# Formation enthalpy at 0 K   118 meV per atom